# 1
The following is a DFT calculation (GGA-PBE) of a relaxed Pa2NiAs crystal.

a b c (Å): 4.442 4.442 4.016
angles (deg): 90.00 90.00 90.00
Space group P4/mmm (No. 123)
Unique sites:
Pa1 0.000 0.500 0.000 x2
Ni1 0.000 0.000 0.500 x1
As1 0.500 0.500 0.500 x1

Results
**Energy relative to the lowest polymorph listed for this composition**: 0.214 eV per atom
**Formation energy**: -1.56 eV per formula unit

# 2
The following is a DFT calculation (GGA-PBE) of a relaxed Ir4RhW5 crystal.

a b c (Å): 2.775 2.775 19.710
angles (deg): 90.00 90.00 90.00
Space group P4/mmm (No. 123)
Unique sites:
Ir1 0.000 0.000 0.100 x2
Ir2 0.000 0.000 0.301 x2
Rh1 0.000 0.000 0.500 x1
W1 0.500 0.500 0.000 x1
W2 0.500 0.500 0.200 x2
W3 0.500 0.500 0.400 x2

Results
**Formation energy**: -2.49 eV per formula unit

# 3
The following is a DFT calculation (GGA-PBE) of a relaxed CsMnSBr2 crystal.

a b c (Å): 5.598 5.598 4.620
angles (deg): 90.00 90.00 90.00
Space group P4/mmm (No. 123)
Unique sites:
Cs1 0.000 0.000 0.000 x1
Mn1 0.500 0.500 0.500 x1
S1 0.500 0.500 0.000 x1
Br1 0.000 0.500 0.500 x2

Results
**Formation energy (no corrections)**: -0.89 eV per atom

# 4
The following is a DFT calculation (GGA-PBE) of a relaxed YTlGe2 crystal.

a b c (Å): 7.266 7.266 7.266
angles (deg): 90.00 90.00 90.00
Space group Fm-3m (No. 225)
Unique sites:
Y1 0.000 0.000 0.000 x4
Tl1 0.000 0.000 0.500 x4
Ge1 0.250 0.250 0.250 x8

Results
**Energy relative to the lowest polymorph listed for this composition**: 0.251 eV per atom
**Formation energy**: -0.20 eV per formula unit

# 5
The following is a DFT calculation (GGA-PBE) of a relaxed Er2Ga9Co3 crystal.

a b c (Å): 12.700 7.365 9.382
angles (deg): 90.00 90.00 90.00
Space group Cmcm (No. 63)
Unique sites:
Er1 0.164 0.167 0.250 x8
Ga1 0.000 0.120 0.750 x4
Ga2 0.000 0.333 0.059 x8
Ga3 0.107 0.444 0.750 x8
Ga4 0.167 0.167 0.572 x16
Co1 0.000 0.000 0.000 x4
Co2 0.171 0.500 0.000 x8

Results
**Formation energy**: -6.76 eV per formula unit

# 6
The following is a DFT calculation (GGA-PBE) of a relaxed Dy3Mg2In crystal.

a b c (Å): 5.308 16.032 3.789
angles (deg): 90.00 90.00 90.00
Space group Cmmm (No. 65)
Unique sites:
Dy1 0.000 0.000 0.000 x2
Dy2 0.000 0.334 0.000 x4
Mg1 0.000 0.170 0.500 x4
In1 0.000 0.500 0.500 x2

Results
**Energy relative to the lowest polymorph listed for this composition**: 0.000 eV per atom
**Formation energy**: -1.41 eV per formula unit

# 7
The following is a DFT calculation (GGA-PBE) of a relaxed Rb2Ca3F8 crystal.

a b c (Å): 13.223 7.169 6.075
angles (deg): 90.00 110.54 90.00
Space group C2/m (No. 12)
Unique sites:
Rb1 0.219 0.000 0.162 x4
Ca1 0.000 0.243 0.500 x4
Ca2 0.000 0.500 0.000 x2
F1 0.089 0.500 0.404 x4
F2 0.098 0.286 0.886 x8
F3 0.100 0.000 0.458 x4

Results
**Formation energy (no corrections)**: -3.53 eV per atom

# 8
The following is a DFT calculation (GGA-PBE) of a relaxed Ac12Nd5Dy2 crystal.

a b c (Å): 19.254 12.551 6.668
angles (deg): 90.00 103.09 90.00
Space group C2/m (No. 12)
Unique sites:
Ac1 0.061 0.000 0.273 x4
Ac2 0.101 0.253 0.628 x8
Ac3 0.107 0.500 0.017 x4
Ac4 0.196 0.240 0.203 x8
Nd1 0.000 0.500 0.500 x2
Nd2 0.187 0.000 0.858 x4
Nd3 0.213 0.500 0.566 x4
Dy1 0.000 0.258 0.000 x4

Results
**Formation energy**: 2.18 eV per formula unit

# 9
The following is a DFT calculation (GGA-PBE) of a relaxed ScGaAg2 crystal.

a b c (Å): 2.9631 2.9631 31.0578
angles (deg): 90.00 90.00 120.00
Space group R-3m (No. 166, hexagonal axes)
Unique sites:
Sc1 0.0000 0.0000 0.0000 x3
Ga1 0.0000 0.0000 0.5000 x3
Ag1 0.0000 0.0000 0.0902 x6

Results
**Formation energy**: 0.63 eV per formula unit

# 10
The following is a DFT calculation (GGA-PBE) of a relaxed AgRhC2 crystal.

a b c (Å): 5.601 5.601 5.601
angles (deg): 90.00 90.00 90.00
Space group Fm-3m (No. 225)
Unique sites:
Ag1 0.000 0.000 0.000 x4
Rh1 0.000 0.000 0.500 x4
C1 0.250 0.250 0.250 x8

Results
**Energy relative to the lowest polymorph listed for this composition**: 0.755 eV per atom
**Formation energy**: 8.16 eV per formula unit

# 11
The following is a DFT calculation (GGA-PBE) of a relaxed TcSnIrOsS crystal.

a b c (Å): 2.930 4.529 7.962
angles (deg): 79.28 88.58 86.17
Space group P1 (No. 1)
Unique sites:
Tc1 0.000 0.000 0.000 x1
Sn1 0.982 0.565 0.335 x1
Ir1 0.483 0.087 0.261 x1
Os1 0.397 0.520 0.962 x1
S1 0.936 0.396 0.764 x1

Results
**Energy relative to the lowest polymorph listed for this composition**: 0.097 eV per atom
**Formation energy (no corrections)**: 0.16 eV per atom

# 12
The following is a DFT calculation (GGA-PBE) of a relaxed Pr6P3HS2 crystal.

a b c (Å): 17.894 4.148 8.239
angles (deg): 90.00 103.13 90.00
Space group C2/m (No. 12)
Unique sites:
Pr1 0.001 0.000 0.242 x4
Pr2 0.167 0.500 0.088 x4
Pr3 0.169 0.500 0.582 x4
P1 0.000 0.500 0.000 x2
P2 0.167 0.000 0.335 x4
H1 0.000 0.500 0.500 x2
S1 0.165 0.000 0.831 x4

no.,VASP energy (eV per atom)
1,-7.75
2,-11.01
3,-4.39
4,-4.57
5,-4.60
6,-3.52
7,-5.30
8,-4.22
9,-3.61
10,-5.12
11,-7.55
12,-6.24